Record 1
# CaTc3I PBE relaxed
# Calculated volume (Å³ per atom): 23.316
# Density of states at the Fermi level (states/eV/f.u.): 4.96
# Calculated density (Mg/m³): 6.566
# Total DFT energy (no corrections) (eV for the cell shown): -27.30
data_CaTc3I
_cell_length_a 4.885
_cell_length_b 4.885
_cell_length_c 4.885
_cell_angle_alpha 90.00
_cell_angle_beta 90.00
_cell_angle_gamma 90.00
_symmetry_space_group_name_H-M 'P m -3 m'
_symmetry_Int_Tables_number 221
_symmetry_space_group_name_Hall '-P 4 2 3'
loop_
_atom_site_label
_atom_site_type_symbol
_atom_site_fract_x
_atom_site_fract_y
_atom_site_fract_z
Ca1 Ca 0.000 0.000 0.000
Tc1 Tc 0.000 0.500 0.500
I1 I 0.500 0.500 0.500



Record 2
# BaCr2Mo PBE relaxed
# Calculated volume (Å³ per atom): 21.332
# Density of states at the Fermi level (states/eV/f.u.): 4.22
# Formation enthalpy at 0 K (eV/f.u.): 3.1
# Calculated density (Mg/m³): 6.563
data_BaCr2Mo
_cell_length_a 3.356
_cell_length_b 3.356
_cell_length_c 7.577
_cell_angle_alpha 90.00
_cell_angle_beta 90.00
_cell_angle_gamma 90.00
_symmetry_space_group_name_H-M 'P 4/m m m'
_symmetry_Int_Tables_number 123
_symmetry_space_group_name_Hall '-P 4 2'
loop_
_atom_site_label
_atom_site_type_symbol
_atom_site_fract_x
_atom_site_fract_y
_atom_site_fract_z
Ba1 Ba 0.000 0.000 0.000
Cr1 Cr 0.500 0.500 0.364
Mo1 Mo 0.000 0.000 0.500



Record 3
# IrPbCl5 PBE relaxed
# Calculated volume (Å³ per atom): 26.383
# Calculated density (Mg/m³): 5.185
# Total DFT energy (no corrections) (eV for the cell shown): -105.38
data_IrPbCl5
_cell_length_a 10.849
_cell_length_b 8.092
_cell_length_c 9.051
_cell_angle_alpha 90.00
_cell_angle_beta 111.62
_cell_angle_gamma 90.00
_symmetry_space_group_name_H-M 'C 1 2/c 1'
_symmetry_Int_Tables_number 15
loop_
_symmetry_equiv_pos_as_xyz
'x,y,z'
'-x,-y,-z'
'-x,y,-z+1/2'
'x,-y,z+1/2'
'x+1/2,y+1/2,z'
'-x+1/2,-y+1/2,-z'
'-x+1/2,y+1/2,-z+1/2'
'x+1/2,-y+1/2,z+1/2'
loop_
_atom_site_label
_atom_site_type_symbol
_atom_site_fract_x
_atom_site_fract_y
_atom_site_fract_z
Ir1 Ir 0.000 0.000 0.000
Pb1 Pb 0.000 0.478 0.250
Cl1 Cl 0.000 0.094 0.250
Cl2 Cl 0.077 0.272 0.991
Cl3 Cl 0.219 0.098 0.630



Record 4
# BiCI2N PBE relaxed
# Calculated volume (Å³ per atom): 34.254
# Density of states at the Fermi level (states/eV/f.u.): 8.82
# Calculated density (Mg/m³): 4.739
# Total DFT energy (no corrections) (eV for the cell shown): -13.92
data_BiCI2N
_cell_length_a 6.222
_cell_length_b 6.222
_cell_length_c 4.424
_cell_angle_alpha 90.00
_cell_angle_beta 90.00
_cell_angle_gamma 90.00
_symmetry_space_group_name_H-M 'P 4/m m m'
_symmetry_Int_Tables_number 123
_symmetry_space_group_name_Hall '-P 4 2'
loop_
_atom_site_label
_atom_site_type_symbol
_atom_site_fract_x
_atom_site_fract_y
_atom_site_fract_z
Bi1 Bi 0.000 0.000 0.000
C1 C 0.500 0.500 0.500
I1 I 0.000 0.500 0.000
N1 N 0.000 0.000 0.500



Record 5
# PmGa4Ge PBE relaxed
# Calculated volume (Å³ per atom): 20.062
# Density of states at the Fermi level (states/eV/f.u.): 2.85
# Formation enthalpy at 0 K (eV/f.u.): -1.2
# Calculated density (Mg/m³): 6.850
data_PmGa4Ge
_cell_length_a 7.838
_cell_length_b 7.838
_cell_length_c 7.838
_cell_angle_alpha 90.00
_cell_angle_beta 90.00
_cell_angle_gamma 90.00
_symmetry_space_group_name_H-M 'F -4 3 m'
_symmetry_Int_Tables_number 216
_symmetry_space_group_name_Hall 'F -4 2 3'
loop_
_atom_site_label
_atom_site_type_symbol
_atom_site_fract_x
_atom_site_fract_y
_atom_site_fract_z
Pm1 Pm 0.000 0.000 0.000
Ga1 Ga 0.124 0.124 0.376
Ge1 Ge 0.250 0.250 0.750



Record 6
# La12Tm6Sc PBE relaxed
# Calculated volume (Å³ per atom): 33.981
# Density of states at the Fermi level (states/eV/f.u.): 32.65
# Formation enthalpy at 0 K (eV/f.u.): 0.7
# Calculated density (Mg/m³): 7.010
data_La12Tm6Sc
_cell_length_a 15.8084
_cell_length_b 15.8084
_cell_length_c 8.9496
_cell_angle_alpha 90.00
_cell_angle_beta 90.00
_cell_angle_gamma 120.00
_symmetry_space_group_name_H-M 'R -3'
_symmetry_Int_Tables_number 148
_symmetry_space_group_name_Hall '-R 3'
loop_
_atom_site_label
_atom_site_type_symbol
_atom_site_fract_x
_atom_site_fract_y
_atom_site_fract_z
La1 La 0.0358 0.2803 0.3383
La2 La 0.0733 0.5632 0.6658
Tm1 Tm 0.0170 0.1351 0.6666
Sc1 Sc 0.0000 0.0000 0.0000



Record 7
# HoSi2Se4 PBE relaxed
# Calculated volume (Å³ per atom): 26.848
# Density of states at the Fermi level (states/eV/f.u.): 3.19
# Calculated density (Mg/m³): 4.744
# Total DFT energy (no corrections) (eV for the cell shown): -63.85
data_HoSi2Se4
_cell_length_a 7.519
_cell_length_b 7.519
_cell_length_c 6.648
_cell_angle_alpha 90.00
_cell_angle_beta 90.00
_cell_angle_gamma 90.00
_symmetry_space_group_name_H-M 'I 4/m'
_symmetry_Int_Tables_number 87
_symmetry_space_group_name_Hall '-I 4'
loop_
_atom_site_label
_atom_site_type_symbol
_atom_site_fract_x
_atom_site_fract_y
_atom_site_fract_z
Ho1 Ho 0.000 0.000 0.000
Si1 Si 0.000 0.500 0.250
Se1 Se 0.173 0.684 0.500



Record 8
# NiHg2Te PBE relaxed
# Calculated volume (Å³ per atom): 22.527
# Density of states at the Fermi level (states/eV/f.u.): 3.21
# Calculated density (Mg/m³): 10.826
# Total DFT energy (no corrections) (eV for the cell shown): -8.06
data_NiHg2Te
_cell_length_a 4.062
_cell_length_b 4.062
_cell_length_c 5.460
_cell_angle_alpha 90.00
_cell_angle_beta 90.00
_cell_angle_gamma 90.00
_symmetry_space_group_name_H-M 'P 4/m m m'
_symmetry_Int_Tables_number 123
_symmetry_space_group_name_Hall '-P 4 2'
loop_
_atom_site_label
_atom_site_type_symbol
_atom_site_fract_x
_atom_site_fract_y
_atom_site_fract_z
Ni1 Ni 0.000 0.000 0.000
Hg1 Hg 0.500 0.500 0.242
Te1 Te 0.000 0.000 0.500



Record 9
# Te4RhW PBE relaxed
# Calculated volume (Å³ per atom): 26.311
# Density of states at the Fermi level (states/eV/f.u.): 7.58
# Calculated density (Mg/m³): 8.385
# Total DFT energy (no corrections) (eV for the cell shown): -92.58
data_Te4RhW
_cell_length_a 8.579
_cell_length_b 8.579
_cell_length_c 8.579
_cell_angle_alpha 90.00
_cell_angle_beta 90.00
_cell_angle_gamma 90.00
_symmetry_space_group_name_H-M 'F -4 3 m'
_symmetry_Int_Tables_number 216
_symmetry_space_group_name_Hall 'F -4 2 3'
loop_
_atom_site_label
_atom_site_type_symbol
_atom_site_fract_x
_atom_site_fract_y
_atom_site_fract_z
Te1 Te 0.125 0.125 0.125
Rh1 Rh 0.000 0.000 0.500
W1 W 0.250 0.250 0.750



Record 10
# SrWBr PBE relaxed
# Calculated volume (Å³ per atom): 23.857
# Density of states at the Fermi level (states/eV/f.u.): 3.06
# Calculated density (Mg/m³): 8.152
# Total DFT energy (no corrections) (eV for the cell shown): -13.83
data_SrWBr
_cell_length_a 3.3593
_cell_length_b 3.3593
_cell_length_c 7.3233
_cell_angle_alpha 90.00
_cell_angle_beta 90.00
_cell_angle_gamma 120.00
_symmetry_space_group_name_H-M 'P 3 m 1'
_symmetry_Int_Tables_number 156
loop_
_symmetry_equiv_pos_as_xyz
'x,y,z'
'-y,x-y,z'
'-x+y,-x,z'
'-y,-x,z'
'-x+y,y,z'
'x,x-y,z'
loop_
_atom_site_label
_atom_site_type_symbol
_atom_site_fract_x
_atom_site_fract_y
_atom_site_fract_z
Sr1 Sr 0.0000 0.0000 0.0000
W1 W 0.3333 0.6667 0.3457
Br1 Br 0.6667 0.3333 0.6151



Record 11
# TbHo5Sb4 PBE relaxed
# Calculated volume (Å³ per atom): 32.156
# Density of states at the Fermi level (states/eV/f.u.): 5.37
# Calculated density (Mg/m³): 7.594
# Total DFT energy (no corrections) (eV for the cell shown): -102.25
data_TbHo5Sb4
_cell_length_a 18.577
_cell_length_b 4.292
_cell_length_c 8.387
_cell_angle_alpha 90.00
_cell_angle_beta 105.92
_cell_angle_gamma 90.00
_symmetry_space_group_name_H-M 'C 1 2/m 1'
_symmetry_Int_Tables_number 12
loop_
_symmetry_equiv_pos_as_xyz
'x,y,z'
'-x,-y,-z'
'-x,y,-z'
'x,-y,z'
'x+1/2,y+1/2,z'
'-x+1/2,-y+1/2,-z'
'-x+1/2,y+1/2,-z'
'x+1/2,-y+1/2,z'
loop_
_atom_site_label
_atom_site_type_symbol
_atom_site_fract_x
_atom_site_fract_y
_atom_site_fract_z
Tb1 Tb 0.000 0.000 0.000
Ho1 Ho 0.000 0.000 0.500
Ho2 Ho 0.162 0.500 0.822
Ho3 Ho 0.179 0.500 0.351
Sb1 Sb 0.009 0.500 0.260
Sb2 Sb 0.170 0.000 0.087



Record 12
# BeP2Ru PBE relaxed
# Calculated volume (Å³ per atom): 12.275
# Density of states at the Fermi level (states/eV/f.u.): 1.56
# Formation enthalpy at 0 K (eV/f.u.): 0.8
# Calculated density (Mg/m³): 5.818
data_BeP2Ru
_cell_length_a 3.616
_cell_length_b 3.616
_cell_length_c 7.509
_cell_angle_alpha 90.00
_cell_angle_beta 90.00
_cell_angle_gamma 90.00
_symmetry_space_group_name_H-M 'I -4 m 2'
_symmetry_Int_Tables_number 119
_symmetry_space_group_name_Hall 'I -4 -2'
loop_
_atom_site_label
_atom_site_type_symbol
_atom_site_fract_x
_atom_site_fract_y
_atom_site_fract_z
Be1 Be 0.000 0.000 0.000
P1 P 0.000 0.000 0.500
P2 P 0.000 0.500 0.250
Ru1 Ru 0.000 0.500 0.750



Record 13
# Nd2Dy6Tm3Sc PBE relaxed
# Calculated volume (Å³ per atom): 31.029
# Density of states at the Fermi level (states/eV/f.u.): 15.98
# Formation enthalpy at 0 K (eV/f.u.): 0.3
# Calculated density (Mg/m³): 8.095
data_Nd2Dy6Tm3Sc
_cell_length_a 6.108
_cell_length_b 10.573
_cell_length_c 11.709
_cell_angle_alpha 90.00
_cell_angle_beta 99.98
_cell_angle_gamma 90.00
_symmetry_space_group_name_H-M 'C 1 2/m 1'
_symmetry_Int_Tables_number 12
loop_
_symmetry_equiv_pos_as_xyz
'x,y,z'
'-x,-y,-z'
'-x,y,-z'
'x,-y,z'
'x+1/2,y+1/2,z'
'-x+1/2,-y+1/2,-z'
'-x+1/2,y+1/2,-z'
'x+1/2,-y+1/2,z'
loop_
_atom_site_label
_atom_site_type_symbol
_atom_site_fract_x
_atom_site_fract_y
_atom_site_fract_z
Nd1 Nd 0.000 0.167 0.000
Dy1 Dy 0.246 0.500 0.748
Dy2 Dy 0.249 0.335 0.252
Tm1 Tm 0.000 0.000 0.500
Tm2 Tm 0.000 0.334 0.500
Sc1 Sc 0.000 0.500 0.000



Record 14
# SnCF2 PBE relaxed
# Calculated volume (Å³ per atom): 13.575
# Density of states at the Fermi level (states/eV/f.u.): 2.66
# Calculated density (Mg/m³): 5.160
# Total DFT energy (no corrections) (eV for the cell shown): -63.44
data_SnCF2
_cell_length_a 6.011
_cell_length_b 6.011
_cell_length_c 6.011
_cell_angle_alpha 90.00
_cell_angle_beta 90.00
_cell_angle_gamma 90.00
_symmetry_space_group_name_H-M 'F m -3 m'
_symmetry_Int_Tables_number 225
_symmetry_space_group_name_Hall '-F 4 2 3'
loop_
_atom_site_label
_atom_site_type_symbol
_atom_site_fract_x
_atom_site_fract_y
_atom_site_fract_z
Sn1 Sn 0.000 0.000 0.000
C1 C 0.000 0.000 0.500
F1 F 0.250 0.250 0.250



Record 15
# Sr2TlSnSe4 PBE relaxed
# Calculated volume (Å³ per atom): 30.302
# Density of states at the Fermi level (states/eV/f.u.): 5.96
# Calculated density (Mg/m³): 5.577
# Total DFT energy (no corrections) (eV for the cell shown): -130.77
data_Sr2TlSnSe4
_cell_length_a 8.808
_cell_length_b 8.821
_cell_length_c 12.480
_cell_angle_alpha 90.00
_cell_angle_beta 90.00
_cell_angle_gamma 90.00
_symmetry_space_group_name_H-M 'I m m a'
_symmetry_Int_Tables_number 74
_symmetry_space_group_name_Hall '-I 2b 2'
loop_
_atom_site_label
_atom_site_type_symbol
_atom_site_fract_x
_atom_site_fract_y
_atom_site_fract_z
Sr1 Sr 0.000 0.000 0.000
Sr2 Sr 0.250 0.250 0.250
Tl1 Tl 0.000 0.000 0.500
Sn1 Sn 0.250 0.250 0.750
Se1 Se 0.000 0.004 0.752
Se2 Se 0.247 0.250 0.998



Record 16
# CdP2Au PBE relaxed
# Calculated volume (Å³ per atom): 20.161
# Density of states at the Fermi level (states/eV/f.u.): 1.01
# Formation enthalpy at 0 K (eV/f.u.): 1.3
# Calculated density (Mg/m³): 7.646
data_CdP2Au
_cell_length_a 3.080
_cell_length_b 4.948
_cell_length_c 10.585
_cell_angle_alpha 90.00
_cell_angle_beta 90.00
_cell_angle_gamma 90.00
_symmetry_space_group_name_H-M 'C m m 2'
_symmetry_Int_Tables_number 35
loop_
_symmetry_equiv_pos_as_xyz
'x,y,z'
'-x,-y,z'
'-x,y,z'
'x,-y,z'
'x+1/2,y+1/2,z'
'-x+1/2,-y+1/2,z'
'-x+1/2,y+1/2,z'
'x+1/2,-y+1/2,z'
loop_
_atom_site_label
_atom_site_type_symbol
_atom_site_fract_x
_atom_site_fract_y
_atom_site_fract_z
Cd1 Cd 0.000 0.000 0.000
P1 P 0.000 0.000 0.525
P2 P 0.000 0.500 0.676
Au1 Au 0.000 0.500 0.248



Record 17
# NaSr2TlAu PBE relaxed
# Calculated volume (Å³ per atom): 39.822
# Density of states at the Fermi level (states/eV/f.u.): 2.64
# Formation enthalpy at 0 K (eV/f.u.): -1.3
# Calculated density (Mg/m³): 5.000
data_NaSr2TlAu
_cell_length_a 6.027
_cell_length_b 6.027
_cell_length_c 5.481
_cell_angle_alpha 90.00
_cell_angle_beta 90.00
_cell_angle_gamma 90.00
_symmetry_space_group_name_H-M 'P 4/m m m'
_symmetry_Int_Tables_number 123
_symmetry_space_group_name_Hall '-P 4 2'
loop_
_atom_site_label
_atom_site_type_symbol
_atom_site_fract_x
_atom_site_fract_y
_atom_site_fract_z
Na1 Na 0.000 0.000 0.000
Sr1 Sr 0.000 0.500 0.500
Tl1 Tl 0.500 0.500 0.000
Au1 Au 0.000 0.000 0.500



Record 18
# ScTl2Ni PBE relaxed
# Calculated volume (Å³ per atom): 22.291
# Density of states at the Fermi level (states/eV/f.u.): 2.28
# Formation enthalpy at 0 K (eV/f.u.): -0.3
# Calculated density (Mg/m³): 9.543
data_ScTl2Ni
_cell_length_a 3.324
_cell_length_b 3.303
_cell_length_c 8.287
_cell_angle_alpha 90.00
_cell_angle_beta 101.48
_cell_angle_gamma 90.00
_symmetry_space_group_name_H-M 'P 1 m 1'
_symmetry_Int_Tables_number 6
loop_
_symmetry_equiv_pos_as_xyz
'x,y,z'
'x,-y,z'
loop_
_atom_site_label
_atom_site_type_symbol
_atom_site_fract_x
_atom_site_fract_y
_atom_site_fract_z
Sc1 Sc 0.000 0.000 0.000
Tl1 Tl 0.194 0.000 0.379
Tl2 Tl 0.363 0.500 0.725
Ni1 Ni 0.579 0.500 0.157